Material: CaAgAs2
Method: DFT, PBE
State: optimized geometry

Results
DFT total energy: -0.1378 hartree per atom

```
data_CaAgAs2
_symmetry_space_group_name_H-M 'R 3 m'
_symmetry_Int_Tables_number 160
_symmetry_space_group_name_Hall 'R 3 -2"'
_cell_length_a 4.6994
_cell_length_b 4.6994
_cell_length_c 14.3573
_cell_angle_alpha 90.00
_cell_angle_beta 90.00
_cell_angle_gamma 120.00
loop_
_atom_site_label
_atom_site_fract_x
_atom_site_fract_y
_atom_site_fract_z
Ca1 0.0000 0.0000 0.0000
Ag1 0.0000 0.0000 0.2175
As1 0.0000 0.0000 0.5025
As2 0.0000 0.0000 0.7863
```